(1)
Li2MgGe: optimized geometry, GGA-PBEsol.

The structure in POSCAR format:
```
Li2MgGe
1.0
-4.407 0.383 0.309
-2.567 -3.602 -0.320
-2.114 -1.541 3.581
Ge Mg Li
1 1 2
direct
0.500 0.500 0.500
0.000 0.000 0.000
0.750 0.750 0.750
0.250 0.250 0.250
```

## Properties
- symmetry = No. 225
- spin magnetization (μB/cell) = 0.00
- ΔH_f (0 K) (eV per atom) = -0.2994

(2)
CaCoSn3: optimized geometry, GGA-PBEsol.

The structure in POSCAR format:
```
CaCoSn3
1.0
4.621 0.000 0.000
0.000 4.621 0.000
-2.310 -2.310 5.343
Co Ca Sn
1 1 3
direct
0.006 0.006 0.011
0.339 0.339 0.678
0.090 0.590 0.180
0.590 0.090 0.180
0.782 0.782 0.564
```

## Properties
- symmetry = No. 107
- spin magnetization (μB/cell) = 0.00
- ΔH_f (0 K) (eV per atom) = -0.3409

(3)
ZrIrCl2: optimized geometry, GGA-PBEsol.

The structure in POSCAR format:
```
ZrIrCl2
1.0
-2.421 1.717 -0.976
-2.844 -0.486 1.199
-0.127 6.244 6.301
Zr Ir Cl
1 1 2
direct
0.000 0.000 0.000
0.500 0.500 0.500
0.907 0.907 0.279
0.093 0.093 0.721
```

## Properties
- symmetry = No. 166
- raw formation energy (kJ per mole of atoms) = 35.5
- spin magnetization (μB/cell) = 1.01
- energy above the most stable polymorph in this dataset (meV per atom) = 549

(4)
CrAsOs: optimized geometry, GGA-PBEsol.

The structure in POSCAR format:
```
CrAsOs
1.0
-1.180 -1.879 3.391
-2.285 -3.339 -0.224
1.578 -3.603 0.974
Os Cr As
1 1 1
direct
0.250 0.250 0.250
0.500 0.500 0.500
0.000 0.000 0.000
```

## Properties
- symmetry = No. 216
- spin magnetization (μB/cell) = 1.00
- ΔH_f (0 K) (eV per atom) = 0.1580
- energy above the most stable polymorph in this dataset (meV per atom) = 0